Density functional theory data (PBE) for a relaxed ZnHgTe3 crystal.

```
5
Lattice="5.374 0.000 0.000 0.000 5.374 0.000 0.000 0.000 5.374" Properties=species:S:1:pos:R:3 pbc="T T T"
Te 0.000 0.000 2.687
Te 0.000 2.687 0.000
Te 2.687 0.000 0.000
Hg 2.687 2.687 2.687
Zn 0.000 0.000 0.000
```

SG = Pm-3m, No. 221
polymorph energy (0 for the lowest one) = 0 meV per atom
formation energy without anion corrections = 0.38 eV/atom
D(E_F) = 1.43 states/eV per atom